Below is a geometry-optimized Ca2MgCu2 structure, with properties calculated at the PBE-GGA level.

a = 4.7740 Å, b = 4.7740 Å, c = 10.8595 Å
α = 90.00°, β = 90.00°, γ = 90.00°
Atoms (fractional coordinates):
Cu (0.0000, 0.0000, 0.0000)
Cu (0.5000, 0.0000, 0.6594)
Ca (0.0000, 0.5000, 0.7978)
Cu (0.5000, 0.5000, 0.0000)
Ca (0.0000, 0.0000, 0.5000)
Mg (0.0000, 0.5000, 0.1031)
Mg (0.5000, 0.0000, 0.8969)
Ca (0.5000, 0.0000, 0.2022)
Cu (0.0000, 0.5000, 0.3406)
Ca (0.5000, 0.5000, 0.5000)

---

Below is a geometry-optimized Ca2MgCu structure, with properties calculated at the PBE-GGA level.

a = 3.6250 Å, b = 4.6927 Å, c = 14.0901 Å
α = 90.00°, β = 90.00°, γ = 90.00°
Atoms (fractional coordinates):
Ca (0.5000, 0.0000, 0.4123)
Ca (0.5000, 0.5000, 0.2012)
Mg (0.5000, 0.0000, 0.0209)
Ca (0.0000, 0.5000, 0.5877)
Cu (0.0000, 0.5000, 0.3695)
Cu (0.5000, 0.0000, 0.6305)
Mg (0.0000, 0.5000, 0.9791)
Ca (0.0000, 0.0000, 0.7988)

---

Below is a geometry-optimized CaMgCu structure, with properties calculated at the PBE-GGA level.

a = 3.7736 Å, b = 5.1318 Å, c = 17.2744 Å
α = 90.00°, β = 90.00°, γ = 90.00°
Atoms (fractional coordinates):
Cu (0.2500, 0.7500, 0.8169)
Cu (0.7500, 0.2500, 0.1831)
Ca (0.7500, 0.7500, 0.9386)
Mg (0.7498, 0.7500, 0.1535)
Ca (0.7500, 0.7500, 0.5614)
Cu (0.2500, 0.7500, 0.6831)
Mg (0.2502, 0.2500, 0.6535)
Mg (0.2502, 0.2500, 0.8465)
Ca (0.2499, 0.2500, 0.4386)
Ca (0.2499, 0.2500, 0.0614)
Mg (0.7498, 0.7500, 0.3465)
Cu (0.7500, 0.2500, 0.3169)

---

Below is a geometry-optimized CaMgCu structure, with properties calculated at the PBE-GGA level.

a = 8.7895 Å, b = 8.7895 Å, c = 3.2903 Å
α = 90.00°, β = 90.00°, γ = 125.04°
Atoms (fractional coordinates):
Mg (0.5499, 0.8785, 0.0000)
Cu (0.1745, 0.1745, 0.5000)
Cu (0.6287, 0.2297, 0.5000)
Mg (0.8457, 0.8457, 0.5000)
Mg (0.8785, 0.5499, 0.0000)
Ca (0.9666, 0.2617, 0.0000)
Ca (0.2617, 0.9666, 0.0000)
Cu (0.2297, 0.6287, 0.5000)
Ca (0.4646, 0.4646, 0.0000)

---

Below is a geometry-optimized Ca2Mg3Cu7 structure, with properties calculated at the PBE-GGA level.

a = 8.6507 Å, b = 8.6507 Å, c = 8.6507 Å
α = 37.87°, β = 37.87°, γ = 37.87°
Atoms (fractional coordinates):
Mg (0.0000, 0.0000, 0.0000)
Ca (0.3434, 0.3434, 0.3434)
Ca (0.6566, 0.6566, 0.6566)
Cu (0.9385, 0.3783, 0.3783)
Cu (0.6217, 0.0615, 0.6217)
Cu (0.3783, 0.9385, 0.3783)
Cu (0.0615, 0.6217, 0.6217)
Cu (0.6217, 0.6217, 0.0615)
Mg (0.8708, 0.8708, 0.8708)
Mg (0.1292, 0.1292, 0.1292)
Cu (0.3783, 0.3783, 0.9385)
Cu (0.5000, 0.5000, 0.5000)

---

Below is a geometry-optimized Ca4Mg8Cu structure, with properties calculated at the PBE-GGA level.

a = 8.2128 Å, b = 8.2128 Å, c = 8.2128 Å
α = 115.70°, β = 115.70°, γ = 97.62°
Atoms (fractional coordinates):
Mg (0.5000, 0.7336, 0.2336)
Ca (0.5000, 0.5000, 0.5000)
Cu (0.0000, 0.0000, 0.0000)
Mg (0.0000, 0.2928, 0.2928)
Mg (0.0000, 0.7072, 0.7072)
Ca (0.5000, 0.0000, 0.0000)
Mg (0.7072, 0.0000, 0.7072)
Ca (0.0000, 0.5000, 0.0000)
Mg (0.7336, 0.5000, 0.2336)
Ca (0.0000, 0.0000, 0.5000)
Mg (0.2664, 0.5000, 0.7664)
Mg (0.5000, 0.2664, 0.7664)
Mg (0.2928, 0.0000, 0.2928)

Output
The calculation puts the polymorph energy (0 for the lowest one) at 189.6 meV/atom.

---

Below is a geometry-optimized CaMg2Cu structure, with properties calculated at the PBE-GGA level.

a = 5.0173 Å, b = 5.0173 Å, c = 5.0173 Å
α = 60.00°, β = 60.00°, γ = 60.00°
Atoms (fractional coordinates):
Mg (0.0000, 0.0000, 0.0000)
Ca (0.5000, 0.5000, 0.5000)
Mg (0.2500, 0.2500, 0.2500)
Cu (0.7500, 0.7500, 0.7500)

---

Below is a geometry-optimized CaMg6Cu structure, with properties calculated at the PBE-GGA level.

a = 6.5890 Å, b = 6.5890 Å, c = 5.0446 Å
α = 90.00°, β = 90.00°, γ = 122.54°
Atoms (fractional coordinates):
Ca (0.1881, 0.8119, 0.0000)
Mg (0.8084, 0.6781, 0.5000)
Cu (0.3583, 0.6417, 0.5000)
Mg (0.6584, 0.3416, 0.0000)
Mg (0.8183, 0.1817, 0.5000)
Mg (0.6720, 0.8254, 0.0000)
Mg (0.3219, 0.1916, 0.5000)
Mg (0.1746, 0.3280, 0.0000)

---

no.,electronic total energy (eV per cell),total magnetic moment (μB per formula unit)
1,-27.5,0.0
2,-18.9,0.0
3,-28.5,0.0
4,-22.5,0.0
5,-36.3,0.0
6,-22.1,0.0
7,-9.2,0.0
8,-15.4,0.0